# 1
! Sc2PdS (PBE, optimized geometry); values from VASP
! * energy relative to the elements, uncorrected: -0.73 eV per atom
! * E_tot: -6.223 eV/atom
&SYSTEM
  ibrav = 0, nat = 4, ntyp = 3
/
ATOMIC_SPECIES
Sc 44.96 Sc.upf
Pd 106.42 Pd.upf
S 32.06 S.upf
ATOMIC_POSITIONS crystal
Sc 0.896 0.896 0.896
Sc 0.104 0.104 0.104
Pd 0.500 0.500 0.500
S 0.000 0.000 0.000
CELL_PARAMETERS angstrom
2.314 0.000 7.500
-1.157 2.004 7.500
-1.157 -2.004 7.500


# 2
! DyReB3 (PBE, optimized geometry); values from VASP
! * E_tot: -7.788 eV/atom
! * formation energy from the elements: -371 meV per atom
&SYSTEM
  ibrav = 0, nat = 10, ntyp = 3
/
ATOMIC_SPECIES
Re 186.21 Re.upf
Dy 162.50 Dy.upf
B 10.81 B.upf
ATOMIC_POSITIONS crystal
Re 0.208 0.750 0.417
Dy 0.924 0.750 0.848
Re 0.792 0.250 0.583
B 0.630 0.750 0.259
B 0.523 0.750 0.045
Dy 0.076 0.250 0.152
B 0.323 0.750 0.645
B 0.477 0.250 0.955
B 0.677 0.250 0.355
B 0.370 0.250 0.741
CELL_PARAMETERS angstrom
3.658 0.000 -0.504
0.000 3.099 0.000
-0.508 0.000 9.845


# 3
! LaZrN3 (PBE, optimized geometry); values from VASP
! * energy relative to the elements, uncorrected: -0.68 eV per atom
! * E_tot: -8.372 eV/atom
&SYSTEM
  ibrav = 0, nat = 5, ntyp = 3
/
ATOMIC_SPECIES
La 138.91 La.upf
N 14.01 N.upf
Zr 91.22 Zr.upf
ATOMIC_POSITIONS crystal
La 0.500 0.500 0.500
N 0.000 0.000 0.500
Zr 0.000 0.000 0.000
N 0.500 0.000 0.000
N 0.000 0.500 0.000
CELL_PARAMETERS angstrom
4.209 0.000 0.000
0.000 4.209 0.000
0.000 0.000 4.209


# 4
! ZrVRh6 (PBE, optimized geometry); values from VASP
! * E_tot: -8.252 eV/atom
! * formation energy from the elements: -530 meV per atom
&SYSTEM
  ibrav = 0, nat = 8, ntyp = 3
/
ATOMIC_SPECIES
Rh 102.91 Rh.upf
Zr 91.22 Zr.upf
V 50.94 V.upf
ATOMIC_POSITIONS crystal
Rh 0.000 0.500 0.265
Rh 0.000 0.500 0.735
Zr 0.000 0.000 0.000
V 0.000 0.000 0.500
Rh 0.500 0.000 0.735
Rh 0.500 0.500 0.000
Rh 0.500 0.500 0.500
Rh 0.500 0.000 0.265
CELL_PARAMETERS angstrom
-0.395 2.480 -2.968
1.590 -2.616 -2.397
-7.064 -2.919 -1.499


# 5
! Li2YC2 (PBE, optimized geometry); values from VASP
! * energy relative to the lowest polymorph listed for this composition: 0.0803 eV per atom
! * E_tot: -5.629 eV/atom
! * formation energy from the elements: 119 meV per atom
&SYSTEM
  ibrav = 0, nat = 10, ntyp = 3
/
ATOMIC_SPECIES
Y 88.91 Y.upf
Li 6.94 Li.upf
C 12.01 C.upf
ATOMIC_POSITIONS crystal
Y 0.500 0.500 0.000
Y 0.000 0.000 0.000
Li 0.360 0.140 0.500
C 0.919 0.581 0.000
C 0.581 0.081 0.000
C 0.419 0.919 0.000
Li 0.140 0.640 0.500
Li 0.860 0.360 0.500
Li 0.640 0.860 0.500
C 0.081 0.419 0.000
CELL_PARAMETERS angstrom
-1.132 1.763 -5.495
-4.686 -3.548 -0.173
-2.336 3.015 1.448


# 6
! Ba2YZn (PBE, optimized geometry); values from VASP
! * E_tot: -2.932 eV/atom
! * formation energy from the elements: -36 meV per atom
&SYSTEM
  ibrav = 0, nat = 4, ntyp = 3
/
ATOMIC_SPECIES
Y 88.91 Y.upf
Ba 137.33 Ba.upf
Zn 65.41 Zn.upf
ATOMIC_POSITIONS crystal
Y 0.000 0.000 0.579
Ba 0.500 0.500 0.288
Zn 0.500 0.500 0.708
Ba 0.000 0.000 0.925
CELL_PARAMETERS angstrom
3.928 0.000 0.000
0.000 3.928 0.000
0.000 0.000 10.273


# 7
! CePrCu (PBE, optimized geometry); values from VASP
! * energy relative to the lowest polymorph listed for this composition: 0.0916 eV per atom
! * E_tot: -4.833 eV/atom
! * formation energy from the elements: 103 meV per atom
&SYSTEM
  ibrav = 0, nat = 3, ntyp = 3
/
ATOMIC_SPECIES
Ce 140.12 Ce.upf
Pr 140.91 Pr.upf
Cu 63.55 Cu.upf
ATOMIC_POSITIONS crystal
Ce 0.025 0.000 0.000
Pr 0.665 0.667 0.333
Cu 0.309 0.333 0.667
CELL_PARAMETERS angstrom
3.709 0.000 0.000
0.000 4.767 0.000
0.000 -2.383 4.128


# 8
! Tb11Tl4Hg9 (PBE, optimized geometry); values from VASP
! * E_tot: -3.018 eV/atom
! * formation energy from the elements: -388 meV per atom
&SYSTEM
  ibrav = 0, nat = 24, ntyp = 3
/
ATOMIC_SPECIES
Tb 158.93 Tb.upf
Hg 200.59 Hg.upf
Tl 204.38 Tl.upf
ATOMIC_POSITIONS crystal
Tb 0.000 0.776 0.776
Tb 0.000 0.939 0.597
Hg 0.500 0.802 0.984
Hg 0.500 0.500 0.500
Hg 0.500 0.387 0.855
Tl 0.500 0.733 0.569
Hg 0.500 0.613 0.145
Tb 0.000 0.224 0.224
Tb 0.000 0.000 0.000
Tb 0.000 0.403 0.061
Tb 0.000 0.817 0.183
Hg 0.500 0.855 0.387
Hg 0.500 0.198 0.016
Hg 0.500 0.984 0.802
Tb 0.000 0.359 0.641
Tl 0.500 0.431 0.267
Tb 0.000 0.597 0.939
Tb 0.000 0.183 0.817
Tl 0.500 0.267 0.431
Tb 0.000 0.061 0.403
Tb 0.000 0.641 0.359
Hg 0.500 0.016 0.198
Tl 0.500 0.569 0.733
Hg 0.500 0.145 0.613
CELL_PARAMETERS angstrom
-1.741 2.935 1.333
-5.530 2.200 -12.064
-8.563 -8.050 6.545


# 9
! PuUVTc (PBE, optimized geometry); values from VASP
! * E_tot: -11.236 eV/atom
! * formation energy from the elements: 41 meV per atom
&SYSTEM
  ibrav = 0, nat = 4, ntyp = 4
/
ATOMIC_SPECIES
Tc 98.00 Tc.upf
Pu 244.00 Pu.upf
V 50.94 V.upf
U 238.03 U.upf
ATOMIC_POSITIONS crystal
Tc 0.750 0.750 0.750
Pu 0.250 0.250 0.250
V 0.000 0.000 0.000
U 0.500 0.500 0.500
CELL_PARAMETERS angstrom
4.602 0.000 0.000
2.301 3.985 0.000
2.301 1.328 3.757


# 10
! MgZrZn2 (PBE, optimized geometry); values from VASP
! * E_tot: -3.198 eV/atom
! * formation energy from the elements: -25 meV per atom
&SYSTEM
  ibrav = 0, nat = 4, ntyp = 3
/
ATOMIC_SPECIES
Zn 65.41 Zn.upf
Mg 24.30 Mg.upf
Zr 91.22 Zr.upf
ATOMIC_POSITIONS crystal
Zn 0.000 0.000 0.994
Mg 0.500 0.500 0.778
Zn 0.500 0.500 0.249
Zr 0.000 0.000 0.480
CELL_PARAMETERS angstrom
2.945 0.000 0.000
0.000 4.163 0.000
0.000 0.000 6.052


# 11
! PbWSeN2 (PBE, optimized geometry); values from VASP
! * energy relative to the elements, uncorrected: 0.22 eV per atom
! * energy relative to the lowest polymorph listed for this composition: 0.0000 eV per atom
! * E_tot: -7.138 eV/atom
&SYSTEM
  ibrav = 0, nat = 5, ntyp = 4
/
ATOMIC_SPECIES
Pb 207.20 Pb.upf
N 14.01 N.upf
Se 78.96 Se.upf
W 183.84 W.upf
ATOMIC_POSITIONS crystal
Pb 0.500 0.500 0.500
N 0.000 0.500 0.000
Se 0.000 0.000 0.500
W 0.000 0.000 0.000
N 0.500 0.000 0.000
CELL_PARAMETERS angstrom
4.054 0.000 0.000
0.000 4.054 0.000
0.000 0.000 5.232


# 12
! CsLiTcI6 (PBE, optimized geometry); values from VASP
! * energy relative to the elements, uncorrected: -0.64 eV per atom
! * E_tot: -3.131 eV/atom
&SYSTEM
  ibrav = 0, nat = 9, ntyp = 4
/
ATOMIC_SPECIES
I 126.90 I.upf
Tc 98.00 Tc.upf
Cs 132.91 Cs.upf
Li 6.94 Li.upf
ATOMIC_POSITIONS crystal
I 0.020 0.621 0.682
I 0.358 0.621 0.317
I 0.621 0.020 0.317
I 0.621 0.358 0.683
I 0.358 0.020 0.683
Tc 0.333 0.333 0.500
I 0.020 0.358 0.317
Cs 0.000 0.000 0.000
Li 0.667 0.667 0.500
CELL_PARAMETERS angstrom
-4.711 -5.002 -2.881
-3.494 -4.833 4.467
-6.594 5.656 0.962


Number 10 is which compound? MgZrZn2


Please write out number 7 again, unchanged.
! CePrCu (PBE, optimized geometry); values from VASP
! * energy relative to the lowest polymorph listed for this composition: 0.0916 eV per atom
! * E_tot: -4.833 eV/atom
! * formation energy from the elements: 103 meV per atom
&SYSTEM
  ibrav = 0, nat = 3, ntyp = 3
/
ATOMIC_SPECIES
Ce 140.12 Ce.upf
Pr 140.91 Pr.upf
Cu 63.55 Cu.upf
ATOMIC_POSITIONS crystal
Ce 0.025 0.000 0.000
Pr 0.665 0.667 0.333
Cu 0.309 0.333 0.667
CELL_PARAMETERS angstrom
3.709 0.000 0.000
0.000 4.767 0.000
0.000 -2.383 4.128


What is the E_tot in the second record? -7.788 eV/atom